Entry 1:
# BC | the Alexandria database | PBE | optimized geometry
# - ΔH_f (0 K): 0.8 eV/f.u.
# - Spin magnetization: 0.000 μB/atom
# - N(E_F): 0.50 states/eV/f.u.
data_BC
_chemical_formula_sum 'B12 C12'
_cell_length_a 9.1538
_cell_length_b 2.6590
_cell_length_c 7.5310
_cell_angle_alpha 90.00
_cell_angle_beta 114.19
_cell_angle_gamma 90.00
_symmetry_space_group_name_H-M 'C 1 m 1'
_symmetry_Int_Tables_number 8
loop_
_symmetry_equiv_pos_as_xyz
'x,y,z'
'x,-y,z'
'x+1/2,y+1/2,z'
'x+1/2,-y+1/2,z'
loop_
_atom_site_label
_atom_site_fract_x
_atom_site_fract_y
_atom_site_fract_z
B1 0.0000 0.0000 0.0000
B2 0.0058 0.0000 0.4745
B3 0.1715 0.5000 0.8544
B4 0.1907 0.0000 0.6806
B5 0.2946 0.0000 0.1135
B6 0.3476 0.5000 0.5486
C1 0.0030 0.5000 0.8636
C2 0.0647 0.5000 0.4244
C3 0.1702 0.5000 0.3196
C4 0.1732 0.0000 0.2154
C5 0.3387 0.5000 0.0401
C6 0.3596 0.0000 0.6770


Entry 2:
# B7C5 | the Alexandria database | PBE | optimized geometry
# - ΔH_f (0 K): 5.6 eV/f.u.
# - Spin magnetization: 0.000 μB/atom
# - N(E_F): 1.33 states/eV/f.u.
data_B7C5
_chemical_formula_sum 'B14 C10'
_cell_length_a 12.9075
_cell_length_b 2.4907
_cell_length_c 5.3343
_cell_angle_alpha 90.00
_cell_angle_beta 103.97
_cell_angle_gamma 90.00
_symmetry_space_group_name_H-M 'C 1 m 1'
_symmetry_Int_Tables_number 8
loop_
_symmetry_equiv_pos_as_xyz
'x,y,z'
'x,-y,z'
'x+1/2,y+1/2,z'
'x+1/2,-y+1/2,z'
loop_
_atom_site_label
_atom_site_fract_x
_atom_site_fract_y
_atom_site_fract_z
B1 0.0000 0.0000 0.0000
B2 0.0007 0.0000 0.4372
B3 0.1052 0.5000 0.0324
B4 0.1059 0.5000 0.5213
B5 0.2456 0.0000 0.2979
B6 0.3225 0.0000 0.6638
B7 0.4200 0.5000 0.6721
C1 0.1767 0.5000 0.8215
C2 0.1862 0.5000 0.3343
C3 0.2473 0.0000 0.8566
C4 0.3355 0.0000 0.1288
C5 0.4029 0.5000 0.1738


Entry 3:
# BC | the Alexandria database | PBE | optimized geometry
# - ΔH_f (0 K): 0.8 eV/f.u.
# - Spin magnetization: 0.000 μB/atom
# - N(E_F): 0.54 states/eV/f.u.
data_BC
_chemical_formula_sum 'B4 C4'
_cell_length_a 3.9263
_cell_length_b 2.5781
_cell_length_c 5.5014
_cell_angle_alpha 90.00
_cell_angle_beta 91.14
_cell_angle_gamma 90.00
_symmetry_space_group_name_H-M 'P 1 m 1'
_symmetry_Int_Tables_number 6
loop_
_symmetry_equiv_pos_as_xyz
'x,y,z'
'x,-y,z'
loop_
_atom_site_label
_atom_site_fract_x
_atom_site_fract_y
_atom_site_fract_z
B1 0.0000 0.0000 0.0000
B2 0.0312 0.0000 0.4984
B3 0.4363 0.5000 0.1965
B4 0.7395 0.5000 0.5597
C1 0.2419 0.0000 0.2560
C2 0.2436 0.0000 0.7591
C3 0.4707 0.5000 0.7655
C4 0.7170 0.5000 0.9936


Question: Among the records above, which one has the highest ΔH_f (0 K)?
Answer: B7C5


Question: The highest ΔH_f (0 K) belongs to which entry?
Answer: B7C5